(1)
First-principles (GGA-PBE) data for an optimized crystal structure of Tm4InGa2, as listed in the Alexandria database.

Calculated values
As for the final energy: -4.06 eV/atom. As for the magnetic moment: 0.00 μB per formula unit. Its formation energy is -250 meV/atom.

Cell: 4.9435 4.9435 9.3585 Å, 74.69 74.69 60.00°
Sites, in units of the cell vectors:
In (0.0000, 0.0000, 0.0000)
Tm (0.3817, 0.3817, 0.8549)
Tm (0.2058, 0.2058, 0.3826)
Tm (0.6183, 0.6183, 0.1451)
Tm (0.7942, 0.7942, 0.6174)
Ga (0.0998, 0.0998, 0.7006)
Ga (0.9002, 0.9002, 0.2994)

***

(2)
First-principles (GGA-PBE) data for an optimized crystal structure of KTaSb, as listed in the Alexandria database.

Calculated values
The value obtained for the relative energy among the computed polymorphs is 0.630 eV per atom. The calculation puts the raw formation energy at 153 kJ/mol of formula units. As for the final energy: -5.16 eV/atom. As for the magnetic moment: 0.00 μB per formula unit.

Cell: 8.2290 8.2290 8.2290 Å, 157.80 157.80 31.59°
Sites, in units of the cell vectors:
K (0.9959, 0.9959, 0.0000)
Ta (0.6912, 0.6912, 0.0000)
Sb (0.3129, 0.3129, 0.0000)

***

(3)
First-principles (GGA-PBE) data for an optimized crystal structure of KZr2NiI, as listed in the Alexandria database.

Calculated values
The calculation puts the raw formation energy at 474 kJ/mol of formula units. As for the final energy: -4.12 eV/atom. As for the magnetic moment: 0.00 μB per formula unit.

Cell: 5.4463 4.7517 5.4463 Å, 90.00 90.00 90.00°
Sites, in units of the cell vectors:
Ni (0.0000, 0.5000, 0.0000)
K (0.5000, 0.5000, 0.5000)
Zr (0.5000, 0.0000, 0.0000)
Zr (0.0000, 0.0000, 0.5000)
I (0.0000, 0.0000, 0.0000)

***

(4)
First-principles (GGA-PBE) data for an optimized crystal structure of ZnCo2Ru, as listed in the Alexandria database.

Calculated values
As for the final energy: -6.02 eV/atom. As for the magnetic moment: 4.38 μB per formula unit. Its formation energy is 175 meV/atom.

Cell: 2.9340 4.1586 4.1451 Å, 90.00 90.00 90.00°
Sites, in units of the cell vectors:
Co (0.5000, 0.5000, 0.0000)
Co (0.0000, 0.0000, 0.0000)
Ru (0.5000, 0.0000, 0.5000)
Zn (0.0000, 0.5000, 0.5000)

***

(5)
First-principles (GGA-PBE) data for an optimized crystal structure of Sr2Al4InGa3, as listed in the Alexandria database.

Calculated values
As for the final energy: -3.33 eV/atom. As for the magnetic moment: 0.00 μB per formula unit. Its formation energy is -312 meV/atom.

Cell: 4.5086 4.5086 11.1544 Å, 90.00 90.00 90.00°
Sites, in units of the cell vectors:
Ga (0.0000, 0.5000, 0.1291)
Ga (0.0000, 0.0000, 0.5000)
Ga (0.5000, 0.0000, 0.8709)
Sr (0.5000, 0.0000, 0.2454)
Sr (0.0000, 0.5000, 0.7546)
Al (0.5000, 0.5000, 0.0000)
Al (0.0000, 0.5000, 0.3596)
Al (0.5000, 0.0000, 0.6404)
Al (0.0000, 0.0000, 0.0000)
In (0.5000, 0.5000, 0.5000)

***

(6)
First-principles (GGA-PBE) data for an optimized crystal structure of Cs2LiHSe, as listed in the Alexandria database.

Calculated values
The value obtained for the relative energy among the computed polymorphs is 0.010 eV per atom. As for the final energy: -2.83 eV/atom. As for the magnetic moment: 0.00 μB per formula unit.

Cell: 4.4954 9.1163 9.5801 Å, 90.00 90.00 90.00°
Sites, in units of the cell vectors:
H (0.5000, 0.5000, 0.1849)
H (0.0000, 0.0000, 0.6849)
Cs (0.0000, 0.2597, 0.1912)
Cs (0.0000, 0.7403, 0.1912)
Cs (0.5000, 0.7597, 0.6912)
Cs (0.5000, 0.2403, 0.6912)
Li (0.5000, 0.5000, 0.9902)
Li (0.0000, 0.0000, 0.4902)
Se (0.0000, 0.5000, 0.8714)
Se (0.5000, 0.0000, 0.3714)

***

> Which of these has the lowest final energy?

ZnCo2Ru

***

> What is the formula in the fourth record?

ZnCo2Ru

***

> What is the magnetic moment in the second record?

0.00 μB per formula unit